Entry 1:
The following is a PBE calculation of an optimized crystal structure of ErHfAg, from Alexandria.

Total magnetization = 0.002 μB per atom
Volume = 23.00 A^3/atom
Formation energy = -0.06 eV per atom

Lattice parameters (Å, degrees): 3.3352 3.3352 12.4077 90.00 90.00 90.00
Last column: nearest neighbours and their distance in Å.
Space group I4mm (No. 107)
Unique sites:
Er  0.0000  0.0000  0.0000 x2  4 Ag 3.21, 4 Hf 3.24, 4 Er 3.34
Hf  0.0000  0.0000  0.3208 x2  4 Ag 2.97, 4 Er 3.24
Ag  0.0000  0.0000  0.6749 x2  4 Hf 2.97, 4 Er 3.21

Entry 2:
The following is a PBE calculation of an optimized crystal structure of Sc3WAu, from Alexandria.

Energy relative to the lowest polymorph listed for this composition = 356 meV per atom
Total magnetization = 0.000 μB per atom
Volume = 25.30 A^3/atom
Formation energy = 0.89 eV per atom

Lattice parameters (Å, degrees): 5.0198 5.0198 5.0198 90.00 90.00 90.00
Last column: nearest neighbours and their distance in Å.
Space group Pm-3m (No. 221)
Unique sites:
Sc  0.0000  0.0000  0.5000 x3  2 Au 2.51
W  0.5000  0.5000  0.5000 x1  12 Sc 3.55
Au  0.0000  0.0000  0.0000 x1  6 Sc 2.51